VASP calculation (GGA-PBE) on crystalline TlCd2Ir at its relaxed geometry.

Energy above the most stable polymorph in this dataset, eV/atom: 0.204
Volume, Å³/cell: 80.8
Space group: Pmmm, No. 47
Total magnetization, μB per cell: 0.00
Formation enthalpy at 0 K, kJ/mol of formula units: 136
DOS(E_F), states/eV/cell: 1.866

a = 3.160 Å, b = 4.797 Å, c = 5.330 Å
α = 90.00°, β = 90.00°, γ = 90.00°
Fractional positions:
Tl (0.000, 0.500, 0.500)
Ir (0.500, 0.000, 0.500)
Cd (0.000, 0.000, 0.000)
Cd (0.500, 0.500, 0.000)